# GGA-PBE Hf2TlCd2, optimized geometry
# space group: No. 127
# magnetization: 0.000 μB per atom
# energy above the lowest structure with this stoichiometry: 0.00 eV/f.u.
# DFT formation energy: 0.253 eV per atom
# raw total energy: -4.567 eV per atom
# calculated volume: 225.8 Å³ per cell
data_Hf2TlCd2
_space_group_name_H-M_alt 'P 1'
_space_group_IT_number 1
_space_group_name_Hall 'P 1'
_cell_length_a 8.165
_cell_length_b 8.165
_cell_length_c 3.387
_cell_angle_alpha 90.00
_cell_angle_beta 90.00
_cell_angle_gamma 90.00
loop_
_atom_site_label
_atom_site_type_symbol
_atom_site_fract_x
_atom_site_fract_y
_atom_site_fract_z
_atom_site_occupancy
Hf1 Hf 0.176 0.324 0.000 1
Hf2 Hf 0.324 0.824 0.000 1
Hf3 Hf 0.676 0.176 0.000 1
Hf4 Hf 0.824 0.676 0.000 1
Tl1 Tl 0.000 0.000 0.500 1
Tl2 Tl 0.500 0.500 0.500 1
Cd1 Cd 0.122 0.622 0.500 1
Cd2 Cd 0.378 0.122 0.500 1
Cd3 Cd 0.622 0.878 0.500 1
Cd4 Cd 0.878 0.378 0.500 1


# GGA-PBE YTh2Sc, optimized geometry
# space group: No. 160
# magnetization: 0.000 μB per atom
# energy above the lowest structure with this stoichiometry: 0.08 eV/f.u.
# DFT formation energy: 0.058 eV per atom
# raw total energy: -6.851 eV per atom
# calculated volume: 121.1 Å³ per cell
data_YTh2Sc
_space_group_name_H-M_alt 'P 1'
_space_group_IT_number 1
_space_group_name_Hall 'P 1'
_cell_length_a 11.509
_cell_length_b 11.509
_cell_length_c 11.509
_cell_angle_alpha 17.56
_cell_angle_beta 17.56
_cell_angle_gamma 17.56
loop_
_atom_site_label
_atom_site_type_symbol
_atom_site_fract_x
_atom_site_fract_y
_atom_site_fract_z
_atom_site_occupancy
Y1 Y 0.000 0.000 0.000 1
Th1 Th 0.582 0.582 0.582 1
Th2 Th 0.755 0.755 0.755 1
Sc1 Sc 0.170 0.170 0.170 1


# GGA-PBE ZnTe2P, optimized geometry
# space group: No. 44
# magnetization: 0.000 μB per atom
# energy above the lowest structure with this stoichiometry: 0.71 eV/f.u.
# formation energy from raw total energies: 0.82 eV per formula unit
# raw total energy: -3.036 eV per atom
# calculated volume: 105.1 Å³ per cell
data_ZnTe2P
_space_group_name_H-M_alt 'P 1'
_space_group_IT_number 1
_space_group_name_Hall 'P 1'
_cell_length_a 8.341
_cell_length_b 8.341
_cell_length_c 8.341
_cell_angle_alpha 156.22
_cell_angle_beta 153.28
_cell_angle_gamma 36.07
loop_
_atom_site_label
_atom_site_type_symbol
_atom_site_fract_x
_atom_site_fract_y
_atom_site_fract_z
_atom_site_occupancy
Zn1 Zn 0.000 0.000 0.000 1
Te1 Te 0.420 0.420 0.000 1
Te2 Te 0.691 0.191 0.500 1
P1 P 0.131 0.631 0.500 1


# GGA-PBE Tm5InBi4, optimized geometry
# space group: No. 87
# magnetization: 0.000 μB per atom
# DFT formation energy: -0.605 eV per atom
# raw total energy: -4.667 eV per atom
# calculated volume: 305.0 Å³ per cell
data_Tm5InBi4
_space_group_name_H-M_alt 'P 1'
_space_group_IT_number 1
_space_group_name_Hall 'P 1'
_cell_length_a 7.656
_cell_length_b 7.656
_cell_length_c 7.656
_cell_angle_alpha 99.56
_cell_angle_beta 99.56
_cell_angle_gamma 131.90
loop_
_atom_site_label
_atom_site_type_symbol
_atom_site_fract_x
_atom_site_fract_y
_atom_site_fract_z
_atom_site_occupancy
Tm1 Tm 0.000 0.000 0.000 1
Tm2 Tm 0.199 0.398 0.598 1
Tm3 Tm 0.398 0.801 0.199 1
Tm4 Tm 0.602 0.199 0.801 1
Tm5 Tm 0.801 0.602 0.402 1
In1 In 0.500 0.500 0.000 1
Bi1 Bi 0.099 0.700 0.799 1
Bi2 Bi 0.300 0.099 0.399 1
Bi3 Bi 0.700 0.901 0.601 1
Bi4 Bi 0.901 0.300 0.201 1